NbCuNiGe | OQMD | PBE-GGA | relaxed; VASP energy = -24.23 eV per cell; space group = No. 216
1.0
0.000 3.044 3.044
3.044 0.000 3.044
3.044 3.044 0.000
Nb Cu Ni Ge
1 1 1 1
direct
0.000 0.000 0.000
0.500 0.500 0.500
0.750 0.750 0.750
0.250 0.250 0.250



NbCuReGe | OQMD | PBE-GGA | relaxed; VASP energy = -30.28 eV per cell; space group = No. 216
1.0
0.000 3.122 3.122
3.122 0.000 3.122
3.122 3.122 0.000
Nb Cu Re Ge
1 1 1 1
direct
0.000 0.000 0.000
0.750 0.750 0.750
0.250 0.250 0.250
0.500 0.500 0.500



ScNbCuGe | OQMD | PBE-GGA | relaxed; VASP energy = -24.08 eV per cell; space group = No. 216
1.0
0.000 3.221 3.221
3.221 0.000 3.221
3.221 3.221 0.000
Sc Nb Cu Ge
1 1 1 1
direct
0.000 0.000 0.000
0.250 0.250 0.250
0.750 0.750 0.750
0.500 0.500 0.500



ScNb2CuGe2 | OQMD | PBE-GGA | relaxed; VASP energy = -41.38 eV per cell; space group = No. 99
1.0
3.912 0.000 0.000
0.000 3.912 0.000
0.000 0.000 7.064
Sc Nb Cu Ge
1 2 1 2
direct
0.000 0.000 0.000
0.000 0.500 0.358
0.500 0.000 0.358
0.500 0.500 0.695
0.000 0.000 0.631
0.500 0.500 0.073



Q: Which formula does entry 4 have?
A: ScNb2CuGe2



Q: Look up the VASP energy of the second one.
A: -30.28 eV per cell